Material: HfTl2TcSb
Method: DFT, GGA-PBE
State: relaxed

Properties
magnetization	0.5	μB per formula unit
energy relative to the elements, uncorrected	1.44	eV per atom
DOS at the Fermi energy	3.74	states/eV/f.u.

Cell: 5.5500 4.9406 5.5500 Å, 90.00 90.00 90.00°
Fractional positions:
Tl  0.0000  0.0000  0.5000
Tl  0.5000  0.0000  0.0000
Hf  0.5000  0.5000  0.5000
Tc  0.0000  0.5000  0.0000
Sb  0.0000  0.0000  0.0000


Material: YHfTc2Sb
Method: DFT, GGA-PBE
State: relaxed

Properties
magnetization	0.7	μB per formula unit
energy relative to the elements, uncorrected	1.22	eV per atom
DOS at the Fermi energy	7.22	states/eV/f.u.

Cell: 4.8730 5.3097 4.8730 Å, 90.00 90.00 90.00°
Fractional positions:
Hf  0.5000  0.5000  0.5000
Tc  0.0000  0.0000  0.5000
Tc  0.5000  0.0000  0.0000
Sb  0.0000  0.0000  0.0000
Y  0.0000  0.5000  0.0000


Material: Hf3SbTe
Method: DFT, GGA-PBE
State: relaxed

Properties
energy relative to the lowest polymorph listed for this composition	4.91	eV/f.u.
magnetization	0.0	μB per formula unit
energy relative to the elements, uncorrected	0.84	eV per atom
DOS at the Fermi energy	4.18	states/eV/f.u.

Cell: 5.2171 5.2171 5.2171 Å, 90.00 90.00 90.00°
Fractional positions:
Hf  0.0000  0.0000  0.5000
Hf  0.5000  0.0000  0.0000
Hf  0.0000  0.5000  0.0000
Sb  0.5000  0.5000  0.5000
Te  0.0000  0.0000  0.0000


Material: Hf4SbTe
Method: DFT, GGA-PBE
State: relaxed

Properties
magnetization	0.0	μB per formula unit
energy relative to the elements, uncorrected	-0.05	eV per atom
DOS at the Fermi energy	5.49	states/eV/f.u.

Cell: 5.4384 6.3554 9.3288 Å, 101.28 106.95 90.00°
Fractional positions:
Te  0.5000  0.5000  0.5000
Te  0.0000  0.0000  0.5000
Hf  0.3282  0.0628  0.8597
Hf  0.7731  0.8693  0.7286
Hf  0.9555  0.3693  0.7286
Hf  0.2269  0.1307  0.2714
Hf  0.4685  0.4372  0.1403
Hf  0.6718  0.9372  0.1403
Hf  0.0445  0.6307  0.2714
Hf  0.5315  0.5628  0.8597
Sb  0.8838  0.2500  0.0000
Sb  0.1162  0.7500  0.0000


Material: Hf3SbTe
Method: DFT, GGA-PBE
State: relaxed

Properties
energy relative to the lowest polymorph listed for this composition	0.00	eV/f.u.
magnetization	0.0	μB per formula unit
energy relative to the elements, uncorrected	-0.14	eV per atom
DOS at the Fermi energy	2.63	states/eV/f.u.

Cell: 3.7034 7.7089 10.2595 Å, 101.14 89.98 103.92°
Fractional positions:
Hf  0.1805  0.3611  0.5340
Hf  0.9937  0.9869  0.8504
Hf  0.0063  0.0131  0.1496
Hf  0.8195  0.6389  0.4660
Hf  0.6347  0.2691  0.0177
Hf  0.3653  0.7309  0.9823
Te  0.1822  0.3637  0.8216
Te  0.8178  0.6363  0.1784
Sb  0.6216  0.2435  0.3196
Sb  0.3784  0.7565  0.6804


Material: Hf6Sb3Te
Method: DFT, GGA-PBE
State: relaxed

Properties
magnetization	0.0	μB per formula unit
energy relative to the elements, uncorrected	-0.28	eV per atom
DOS at the Fermi energy	4.95	states/eV/f.u.

Cell: 7.2193 8.5022 8.5022 Å, 108.33 90.00 90.00°
Fractional positions:
Hf  0.2427  0.0653  0.5667
Hf  0.5963  0.2492  0.7508
Hf  0.0963  0.7508  0.2492
Hf  0.1706  0.7252  0.5951
Hf  0.7427  0.9347  0.4333
Hf  0.7427  0.5667  0.0653
Hf  0.6706  0.5951  0.7252
Hf  0.2384  0.0326  0.9674
Hf  0.7384  0.9674  0.0326
Hf  0.1706  0.4049  0.2748
Hf  0.2427  0.4333  0.9347
Hf  0.6706  0.2748  0.4049
Sb  0.0180  0.1034  0.2878
Sb  0.8301  0.5886  0.4114
Sb  0.0180  0.7122  0.8966
Sb  0.5180  0.2878  0.1034
Sb  0.5180  0.8966  0.7122
Sb  0.3301  0.4114  0.5886
Te  0.4578  0.8292  0.1708
Te  0.9578  0.1708  0.8292


Material: Hf8SbTe2
Method: DFT, GGA-PBE
State: relaxed

Properties
magnetization	0.0	μB per formula unit
energy relative to the elements, uncorrected	-0.11	eV per atom
DOS at the Fermi energy	11.99	states/eV/f.u.

Cell: 5.3801 7.4817 7.4817 Å, 115.69 101.43 101.43°
Fractional positions:
Te  0.0000  0.6917  0.3083
Te  0.0000  0.3083  0.6917
Hf  0.1160  0.3176  0.0920
Hf  0.5000  0.2335  0.7665
Hf  0.5000  0.7665  0.2335
Hf  0.1160  0.0920  0.3176
Hf  0.6694  0.3949  0.3949
Hf  0.8840  0.9080  0.6824
Hf  0.8840  0.6824  0.9080
Hf  0.3306  0.6051  0.6051
Sb  0.5000  0.0000  0.0000


Material: Hf8Sb2Te
Method: DFT, GGA-PBE
State: relaxed

Properties
magnetization	0.0	μB per formula unit
energy relative to the elements, uncorrected	-0.24	eV per atom
DOS at the Fermi energy	7.35	states/eV/f.u.

Cell: 3.9878 7.5116 8.8841 Å, 108.82 102.97 90.00°
Fractional positions:
Hf  0.0459  0.7574  0.0918
Hf  0.9541  0.2426  0.9082
Hf  0.5811  0.4601  0.1623
Hf  0.3200  0.0677  0.6400
Hf  0.1495  0.2201  0.2989
Hf  0.6800  0.9323  0.3600
Hf  0.4189  0.5399  0.8377
Hf  0.8505  0.7799  0.7011
Sb  0.2077  0.6607  0.4155
Sb  0.7923  0.3393  0.5845
Te  0.5000  0.0000  0.0000


Material: Hf2Sb3Te
Method: DFT, GGA-PBE
State: relaxed

Properties
magnetization	0.0	μB per formula unit
energy relative to the elements, uncorrected	-0.51	eV per atom
DOS at the Fermi energy	2.60	states/eV/f.u.

Cell: 5.6333 5.6333 8.7268 Å, 62.82 62.82 38.28°
Fractional positions:
Hf  0.8459  0.8459  0.1885
Hf  0.1536  0.1536  0.8131
Sb  0.4066  0.4066  0.8845
Sb  0.1471  0.1471  0.4713
Sb  0.8540  0.8540  0.5306
Te  0.5928  0.5928  0.1120


Material: Hf5SbTe
Method: DFT, GGA-PBE
State: relaxed

Properties
magnetization	0.0	μB per formula unit
energy relative to the elements, uncorrected	-0.19	eV per atom
DOS at the Fermi energy	3.74	states/eV/f.u.

Cell: 7.3465 7.3465 7.5274 Å, 88.77 88.77 121.45°
Fractional positions:
Sb  0.4565  0.5435  0.7500
Sb  0.5435  0.4565  0.2500
Te  0.0000  0.0000  0.0000
Te  0.0000  0.0000  0.5000
Hf  0.9953  0.3558  0.8536
Hf  0.7824  0.4713  0.5613
Hf  0.5287  0.2176  0.9387
Hf  0.6442  0.0047  0.6464
Hf  0.1895  0.8105  0.7500
Hf  0.3558  0.9953  0.3536
Hf  0.0047  0.6442  0.1464
Hf  0.8105  0.1895  0.2500
Hf  0.2176  0.5287  0.4387
Hf  0.4713  0.7824  0.0613


Material: HfSbTe3
Method: DFT, GGA-PBE
State: relaxed

Properties
energy relative to the lowest polymorph listed for this composition	3.71	eV/f.u.
magnetization	0.7	μB per formula unit
energy relative to the elements, uncorrected	0.84	eV per atom
DOS at the Fermi energy	6.72	states/eV/f.u.

Cell: 5.5934 5.5934 5.5934 Å, 90.00 90.00 90.00°
Fractional positions:
Te  0.0000  0.0000  0.5000
Te  0.5000  0.0000  0.0000
Te  0.0000  0.5000  0.0000
Sb  0.0000  0.0000  0.0000
Hf  0.5000  0.5000  0.5000


Material: HfSbTe3
Method: DFT, GGA-PBE
State: relaxed

Properties
energy relative to the lowest polymorph listed for this composition	0.00	eV/f.u.
magnetization	0.0	μB per formula unit
energy relative to the elements, uncorrected	0.10	eV per atom
DOS at the Fermi energy	3.76	states/eV/f.u.

Cell: 5.5304 5.5304 5.5304 Å, 90.00 90.00 90.00°
Fractional positions:
Te  0.5000  0.0000  0.0000
Te  0.0000  0.0000  0.5000
Te  0.0000  0.5000  0.0000
Hf  0.0000  0.0000  0.0000
Sb  0.5000  0.5000  0.5000


Material: Hf8Sb2Te3
Method: DFT, GGA-PBE
State: relaxed

Properties
magnetization	0.0	μB per formula unit
energy relative to the elements, uncorrected	-0.10	eV per atom
DOS at the Fermi energy	9.01	states/eV/f.u.

Cell: 6.0650 8.2187 7.6686 Å, 122.40 95.16 90.00°
Fractional positions:
Sb  0.3271  0.2253  0.4507
Sb  0.6729  0.7747  0.5493
Hf  0.6204  0.1902  0.7484
Hf  0.3796  0.4418  0.2516
Hf  0.1052  0.4033  0.8067
Hf  0.1747  0.8105  0.6210
Hf  0.8253  0.1895  0.3790
Hf  0.6204  0.5582  0.7484
Hf  0.3796  0.8098  0.2516
Hf  0.8948  0.5967  0.1933
Te  0.5000  0.0000  0.0000
Te  0.0000  0.8020  0.0000
Te  0.0000  0.1980  0.0000


Material: HfThSbTe
Method: DFT, GGA-PBE
State: relaxed

Properties
magnetization	0.0	μB per formula unit
energy relative to the elements, uncorrected	-0.65	eV per atom
DOS at the Fermi energy	4.07	states/eV/f.u.

Cell: 5.2495 5.2495 5.2495 Å, 60.00 60.00 60.00°
Fractional positions:
Hf  0.0000  0.0000  0.0000
Sb  0.7500  0.7500  0.7500
Th  0.5000  0.5000  0.5000
Te  0.2500  0.2500  0.2500


Material: HfTiSb2Te
Method: DFT, GGA-PBE
State: relaxed

Properties
energy relative to the lowest polymorph listed for this composition	0.00	eV/f.u.
magnetization	0.0	μB per formula unit
energy relative to the elements, uncorrected	0.47	eV per atom
DOS at the Fermi energy	5.05	states/eV/f.u.

Cell: 5.1920 5.1920 5.2665 Å, 90.00 90.00 90.00°
Fractional positions:
Te  0.0000  0.0000  0.5000
Ti  0.0000  0.0000  0.0000
Hf  0.5000  0.5000  0.5000
Sb  0.0000  0.5000  0.0000
Sb  0.5000  0.0000  0.0000


Material: HfTl3Sb2Te6
Method: DFT, GGA-PBE
State: relaxed

Properties
magnetization	0.0	μB per formula unit
energy relative to the elements, uncorrected	-0.34	eV per atom
DOS at the Fermi energy	6.19	states/eV/f.u.

Cell: 7.7086 7.7086 8.3197 Å, 98.97 98.97 119.56°
Fractional positions:
Tl  0.5000  0.5000  0.5000
Tl  0.1674  0.8326  0.5000
Tl  0.8326  0.1674  0.5000
Te  0.0677  0.3831  0.2063
Te  0.6169  0.9323  0.7937
Te  0.2458  0.2458  0.7947
Te  0.7542  0.7542  0.2053
Te  0.9323  0.6169  0.7937
Te  0.3831  0.0677  0.2063
Hf  0.0000  0.0000  0.0000
Sb  0.3327  0.6673  0.0000
Sb  0.6673  0.3327  0.0000


Material: HfTlSb2Te
Method: DFT, GGA-PBE
State: relaxed

Properties
energy relative to the lowest polymorph listed for this composition	0.00	eV/f.u.
magnetization	0.0	μB per formula unit
energy relative to the elements, uncorrected	-0.02	eV per atom
DOS at the Fermi energy	3.69	states/eV/f.u.

Cell: 5.5706 5.5706 5.6200 Å, 90.00 90.00 90.00°
Fractional positions:
Hf  0.0000  0.0000  0.0000
Sb  0.5000  0.0000  0.0000
Sb  0.0000  0.5000  0.0000
Tl  0.5000  0.5000  0.5000
Te  0.0000  0.0000  0.5000


Material: HfSbTe2W
Method: DFT, GGA-PBE
State: relaxed

Properties
energy relative to the lowest polymorph listed for this composition	0.00	eV/f.u.
magnetization	0.4	μB per formula unit
energy relative to the elements, uncorrected	0.99	eV per atom
DOS at the Fermi energy	6.32	states/eV/f.u.

Cell: 5.2631 5.2631 5.2573 Å, 90.00 90.00 90.00°
Fractional positions:
W  0.0000  0.0000  0.0000
Hf  0.5000  0.5000  0.5000
Te  0.0000  0.5000  0.0000
Te  0.5000  0.0000  0.0000
Sb  0.0000  0.0000  0.5000


Material: Hf2ZrSbTe
Method: DFT, GGA-PBE
State: relaxed

Properties
magnetization	0.0	μB per formula unit
energy relative to the elements, uncorrected	0.89	eV per atom
DOS at the Fermi energy	6.32	states/eV/f.u.

Cell: 5.3087 5.2510 5.3087 Å, 90.00 90.00 90.00°
Fractional positions:
Hf  0.0000  0.0000  0.5000
Hf  0.5000  0.0000  0.0000
Sb  0.5000  0.5000  0.5000
Zr  0.0000  0.0000  0.0000
Te  0.0000  0.5000  0.0000


Material: HfThSb3
Method: DFT, GGA-PBE
State: relaxed

Properties
magnetization	0.0	μB per formula unit
energy relative to the elements, uncorrected	-0.63	eV per atom
DOS at the Fermi energy	1.95	states/eV/f.u.

Cell: 6.3229 6.4887 13.4437 Å, 90.00 90.00 90.00°
Fractional positions:
Th  0.7500  0.4938  0.6810
Th  0.2500  0.0062  0.6810
Th  0.7500  0.9938  0.3190
Th  0.2500  0.5062  0.3190
Sb  0.7500  0.4839  0.2423
Sb  0.5000  0.2500  0.4987
Sb  0.5000  0.7500  0.5013
Sb  0.2500  0.5161  0.7577
Sb  0.7500  0.8821  0.0820
Sb  0.0000  0.2500  0.4987
Sb  0.0000  0.7500  0.5013
Sb  0.2500  0.0161  0.2423
Sb  0.2500  0.6179  0.0820
Sb  0.7500  0.3821  0.9180
Sb  0.7500  0.9839  0.7577
Sb  0.2500  0.1179  0.9180
Hf  0.0000  0.7500  0.9130
Hf  0.0000  0.2500  0.0870
Hf  0.5000  0.7500  0.9130
Hf  0.5000  0.2500  0.0870